DFT (GGA-PBE) results for an optimized crystal structure of Pr2Tm2Mg.

```
Pr2Tm2Mg
1.0
3.127 8.356 3.032
-3.127 8.356 3.032
0.000 4.752 7.703
Tm Mg Pr
4 2 4
Direct
0.574 0.234 0.243 Tm
0.766 0.426 0.257 Tm
0.426 0.766 0.757 Tm
0.234 0.574 0.743 Tm
0.176 0.824 0.250 Mg
0.824 0.176 0.750 Mg
0.948 0.648 0.252 Pr
0.052 0.352 0.748 Pr
0.352 0.052 0.248 Pr
0.648 0.948 0.752 Pr
```

Computed properties:
* SG: C2/c, No. 15
* distance to the lowest polymorph of the same formula: 0.0000 eV per atom
* energy relative to the elements: 0.0087 eV per atom